1.
! Ac6TlHg2 | Alexandria | GGA-PBE | optimized geometry; values from VASP
! formation energy	-251	meV per atom
&SYSTEM
  ibrav = 0, nat = 18, ntyp = 3
/
ATOMIC_SPECIES
Ac 227.00 Ac.upf
Tl 204.38 Tl.upf
Hg 200.59 Hg.upf
ATOMIC_POSITIONS angstrom
Ac 5.462 3.334 -2.928
Ac 2.972 1.964 0.000
Ac 7.953 1.964 0.000
Ac 2.312 5.485 -2.013
Ac 3.150 0.000 3.786
Ac 0.000 2.151 2.871
Ac 5.462 3.334 2.928
Ac 2.312 5.485 2.013
Ac 3.150 0.000 7.813
Ac -2.490 3.521 5.800
Ac 2.490 3.521 5.800
Ac 0.000 2.151 8.728
Tl 0.000 0.000 0.000
Tl 0.000 0.000 5.800
Hg 5.462 0.000 1.503
Hg 0.000 3.822 0.000
Hg 0.000 7.147 0.000
Hg 0.000 5.485 4.297
CELL_PARAMETERS angstrom
-5.462 5.485 5.800
5.462 -5.485 5.800
5.462 5.485 -5.800

***

2.
! Ac5Tl6Hg | Alexandria | GGA-PBE | optimized geometry; values from VASP
! formation energy	-318	meV per atom
&SYSTEM
  ibrav = 0, nat = 12, ntyp = 3
/
ATOMIC_SPECIES
Ac 227.00 Ac.upf
Tl 204.38 Tl.upf
Hg 200.59 Hg.upf
ATOMIC_POSITIONS angstrom
Ac 0.000 0.000 0.000
Ac 2.181 0.000 3.657
Ac 6.121 0.000 1.973
Ac 10.609 0.000 3.408
Ac 14.548 0.000 1.725
Tl 4.711 2.177 4.487
Tl 8.365 2.374 2.691
Tl 12.018 2.177 0.895
Tl 4.711 -2.177 4.487
Tl 8.365 -2.374 2.691
Tl 12.018 -2.177 0.895
Hg 9.211 0.000 0.000
CELL_PARAMETERS angstrom
9.211 -4.197 0.000
9.211 4.197 0.000
-1.693 0.000 5.382

***

3.
! AcTm2Tl2Hg2 | Alexandria | GGA-PBE | optimized geometry; values from VASP
! formation energy	-249	meV per atom
&SYSTEM
  ibrav = 0, nat = 7, ntyp = 4
/
ATOMIC_SPECIES
Ac 227.00 Ac.upf
Tm 168.93 Tm.upf
Tl 204.38 Tl.upf
Hg 200.59 Hg.upf
ATOMIC_POSITIONS angstrom
Ac 0.000 0.000 0.000
Tm 0.000 0.000 3.735
Tm 0.000 0.000 23.876
Tl 0.000 0.000 7.260
Tl 0.000 0.000 20.352
Hg 0.000 0.000 12.191
Hg 0.000 0.000 15.420
CELL_PARAMETERS angstrom
2.522 1.456 9.204
-2.522 1.456 9.204
0.000 -2.912 9.204

***

4.
! AcTmTlHg | Alexandria | GGA-PBE | optimized geometry; values from VASP
! formation energy	-353	meV per atom
! offset from the most stable computed form	3.44	kJ per mole of atoms
&SYSTEM
  ibrav = 0, nat = 4, ntyp = 4
/
ATOMIC_SPECIES
Ac 227.00 Ac.upf
Tm 168.93 Tm.upf
Tl 204.38 Tl.upf
Hg 200.59 Hg.upf
ATOMIC_POSITIONS angstrom
Ac 0.000 0.000 0.000
Tm 3.929 3.929 3.929
Tl 5.893 5.893 5.893
Hg 1.964 1.964 1.964
CELL_PARAMETERS angstrom
0.000 3.929 3.929
3.929 0.000 3.929
3.929 3.929 0.000

***

5.
! AcTmTlHg | Alexandria | GGA-PBE | optimized geometry; values from VASP
! formation energy	-389	meV per atom
! offset from the most stable computed form	0.00	kJ per mole of atoms
&SYSTEM
  ibrav = 0, nat = 4, ntyp = 4
/
ATOMIC_SPECIES
Ac 227.00 Ac.upf
Tm 168.93 Tm.upf
Tl 204.38 Tl.upf
Hg 200.59 Hg.upf
ATOMIC_POSITIONS angstrom
Ac 0.000 0.000 0.000
Tm 0.000 0.000 3.827
Tl 1.930 1.930 5.670
Hg 1.930 1.930 2.254
CELL_PARAMETERS angstrom
3.861 0.000 0.000
0.000 3.861 0.000
0.000 0.000 7.963

***

6.
! AcYTlHg | Alexandria | GGA-PBE | optimized geometry; values from VASP
! formation energy	-418	meV per atom
! offset from the most stable computed form	0.00	kJ per mole of atoms
&SYSTEM
  ibrav = 0, nat = 4, ntyp = 4
/
ATOMIC_SPECIES
Ac 227.00 Ac.upf
Y 88.91 Y.upf
Tl 204.38 Tl.upf
Hg 200.59 Hg.upf
ATOMIC_POSITIONS angstrom
Ac 0.000 0.000 0.000
Y 0.000 0.000 3.844
Tl 1.951 1.951 5.693
Hg 1.951 1.951 2.216
CELL_PARAMETERS angstrom
3.901 0.000 0.000
0.000 3.901 0.000
0.000 0.000 7.957

***

7.
! AcYTlHg | Alexandria | GGA-PBE | optimized geometry; values from VASP
! formation energy	-389	meV per atom
! offset from the most stable computed form	2.87	kJ per mole of atoms
&SYSTEM
  ibrav = 0, nat = 4, ntyp = 4
/
ATOMIC_SPECIES
Ac 227.00 Ac.upf
Y 88.91 Y.upf
Tl 204.38 Tl.upf
Hg 200.59 Hg.upf
ATOMIC_POSITIONS angstrom
Ac 0.000 0.000 0.000
Y 3.949 3.949 3.949
Tl 5.923 5.923 5.923
Hg 1.974 1.974 1.974
CELL_PARAMETERS angstrom
0.000 3.949 3.949
3.949 0.000 3.949
3.949 3.949 0.000

***

8.
! AcTlZnHg | Alexandria | GGA-PBE | optimized geometry; values from VASP
! formation energy	-274	meV per atom
&SYSTEM
  ibrav = 0, nat = 4, ntyp = 4
/
ATOMIC_SPECIES
Ac 227.00 Ac.upf
Tl 204.38 Tl.upf
Zn 65.41 Zn.upf
Hg 200.59 Hg.upf
ATOMIC_POSITIONS angstrom
Ac 0.000 0.000 0.000
Tl 3.801 3.801 3.801
Zn 1.900 1.900 1.900
Hg 5.701 5.701 5.701
CELL_PARAMETERS angstrom
0.000 3.801 3.801
3.801 0.000 3.801
3.801 3.801 0.000

***

9.
! Ac2TmHg3 | Alexandria | GGA-PBE | optimized geometry; values from VASP
! formation energy	-451	meV per atom
&SYSTEM
  ibrav = 0, nat = 6, ntyp = 3
/
ATOMIC_SPECIES
Ac 227.00 Ac.upf
Tm 168.93 Tm.upf
Hg 200.59 Hg.upf
ATOMIC_POSITIONS angstrom
Ac 0.000 0.000 2.211
Ac 0.000 0.000 10.114
Tm 0.000 0.000 6.163
Hg 1.913 1.913 0.000
Hg 1.913 1.913 4.495
Hg 1.913 1.913 7.830
CELL_PARAMETERS angstrom
3.825 0.000 0.000
0.000 3.825 0.000
0.000 0.000 12.325

***

10.
! AcTmHg2 | Alexandria | GGA-PBE | optimized geometry; values from VASP
! formation energy	-306	meV per atom
&SYSTEM
  ibrav = 0, nat = 4, ntyp = 3
/
ATOMIC_SPECIES
Ac 227.00 Ac.upf
Tm 168.93 Tm.upf
Hg 200.59 Hg.upf
ATOMIC_POSITIONS angstrom
Ac 0.000 0.000 0.000
Tm 0.000 0.000 14.346
Hg 0.000 0.000 6.905
Hg 0.000 0.000 21.787
CELL_PARAMETERS angstrom
1.938 1.119 9.564
-1.938 1.119 9.564
0.000 -2.238 9.564

***

11.
! AcTm3Hg4 | Alexandria | GGA-PBE | optimized geometry; values from VASP
! formation energy	-432	meV per atom
&SYSTEM
  ibrav = 0, nat = 8, ntyp = 3
/
ATOMIC_SPECIES
Ac 227.00 Ac.upf
Tm 168.93 Tm.upf
Hg 200.59 Hg.upf
ATOMIC_POSITIONS angstrom
Ac 0.000 0.000 0.000
Tm 0.000 0.000 3.850
Tm 2.647 2.647 0.000
Tm 2.647 2.647 3.850
Hg 0.000 2.647 2.109
Hg 0.000 2.647 5.591
Hg 2.647 0.000 2.109
Hg 2.647 0.000 5.591
CELL_PARAMETERS angstrom
5.293 0.000 0.000
0.000 5.293 0.000
0.000 0.000 7.700

***

12.
! AcTmHg4 | Alexandria | GGA-PBE | optimized geometry; values from VASP
! formation energy	-370	meV per atom
! offset from the most stable computed form	0.83	kJ per mole of atoms
&SYSTEM
  ibrav = 0, nat = 6, ntyp = 3
/
ATOMIC_SPECIES
Ac 227.00 Ac.upf
Tm 168.93 Tm.upf
Hg 200.59 Hg.upf
ATOMIC_POSITIONS angstrom
Ac 0.000 0.000 0.000
Tm 0.000 2.536 4.381
Hg 1.801 0.000 2.983
Hg 1.801 0.000 5.780
Hg 1.801 2.536 1.567
Hg 1.801 2.536 7.196
CELL_PARAMETERS angstrom
3.602 0.000 0.000
0.000 5.072 0.000
0.000 0.000 8.763

***

13.
! Ac2TmHg5 | Alexandria | GGA-PBE | optimized geometry; values from VASP
! formation energy	-375	meV per atom
&SYSTEM
  ibrav = 0, nat = 8, ntyp = 3
/
ATOMIC_SPECIES
Ac 227.00 Ac.upf
Tm 168.93 Tm.upf
Hg 200.59 Hg.upf
ATOMIC_POSITIONS angstrom
Ac 0.000 0.000 3.651
Ac 0.000 0.000 11.758
Tm 0.000 0.000 7.704
Hg 0.000 0.000 0.000
Hg 2.704 0.000 1.683
Hg 2.704 0.000 6.021
Hg 0.000 2.704 1.683
Hg 0.000 2.704 6.021
CELL_PARAMETERS angstrom
-2.704 2.704 7.704
2.704 -2.704 7.704
2.704 2.704 -7.704

***

14.
! AcTm4Hg5 | Alexandria | GGA-PBE | optimized geometry; values from VASP
! formation energy	-466	meV per atom
&SYSTEM
  ibrav = 0, nat = 10, ntyp = 3
/
ATOMIC_SPECIES
Ac 227.00 Ac.upf
Tm 168.93 Tm.upf
Hg 200.59 Hg.upf
ATOMIC_POSITIONS angstrom
Ac 0.000 0.000 0.000
Tm 0.000 0.000 4.066
Tm 0.000 0.000 7.709
Tm 0.000 0.000 11.330
Tm 0.000 0.000 14.973
Hg 1.858 1.858 2.334
Hg 1.858 1.858 5.890
Hg 1.858 1.858 9.519
Hg 1.858 1.858 13.149
Hg 1.858 1.858 16.705
CELL_PARAMETERS angstrom
3.716 0.000 0.000
0.000 3.716 0.000
0.000 0.000 19.039

***

15.
! AcTm2Hg | Alexandria | GGA-PBE | optimized geometry; values from VASP
! formation energy	92	meV per atom
! offset from the most stable computed form	27.45	kJ per mole of atoms
&SYSTEM
  ibrav = 0, nat = 4, ntyp = 3
/
ATOMIC_SPECIES
Ac 227.00 Ac.upf
Tm 168.93 Tm.upf
Hg 200.59 Hg.upf
ATOMIC_POSITIONS angstrom
Ac 0.000 0.000 0.000
Tm 1.954 1.954 1.954
Tm 5.862 5.862 5.862
Hg 3.908 3.908 3.908
CELL_PARAMETERS angstrom
0.000 3.908 3.908
3.908 0.000 3.908
3.908 3.908 0.000

***

16.
! Ac2TmHg | Alexandria | GGA-PBE | optimized geometry; values from VASP
! formation energy	-57	meV per atom
! offset from the most stable computed form	11.93	kJ per mole of atoms
&SYSTEM
  ibrav = 0, nat = 4, ntyp = 3
/
ATOMIC_SPECIES
Ac 227.00 Ac.upf
Tm 168.93 Tm.upf
Hg 200.59 Hg.upf
ATOMIC_POSITIONS angstrom
Ac 2.057 2.057 2.057
Ac 6.170 6.170 6.170
Tm 0.000 0.000 0.000
Hg 4.113 4.113 4.113
CELL_PARAMETERS angstrom
0.000 4.113 4.113
4.113 0.000 4.113
4.113 4.113 0.000

***

17.
! AcTm2Hg3 | Alexandria | GGA-PBE | optimized geometry; values from VASP
! formation energy	-455	meV per atom
&SYSTEM
  ibrav = 0, nat = 6, ntyp = 3
/
ATOMIC_SPECIES
Ac 227.00 Ac.upf
Tm 168.93 Tm.upf
Hg 200.59 Hg.upf
ATOMIC_POSITIONS angstrom
Ac 0.000 0.000 0.000
Tm 0.000 0.000 4.004
Tm 0.000 0.000 7.622
Hg 1.878 1.878 2.302
Hg 1.878 1.878 5.813
Hg 1.878 1.878 9.324
CELL_PARAMETERS angstrom
3.755 0.000 0.000
0.000 3.755 0.000
0.000 0.000 11.626

***

18.
! AcTm5Hg6 | Alexandria | GGA-PBE | optimized geometry; values from VASP
! formation energy	-442	meV per atom
&SYSTEM
  ibrav = 0, nat = 12, ntyp = 3
/
ATOMIC_SPECIES
Ac 227.00 Ac.upf
Tm 168.93 Tm.upf
Hg 200.59 Hg.upf
ATOMIC_POSITIONS angstrom
Ac 0.000 0.000 0.000
Tm 2.623 0.000 2.620
Tm 0.000 0.000 5.267
Tm 0.000 3.771 0.000
Tm 0.000 0.000 10.630
Tm 0.000 3.771 5.328
Hg 2.623 -1.781 5.174
Hg 2.623 2.081 0.000
Hg 0.000 1.990 2.774
Hg 2.623 1.781 5.174
Hg 0.000 1.690 7.948
Hg 0.000 5.551 2.774
CELL_PARAMETERS angstrom
-2.623 3.771 7.948
2.623 -3.771 7.948
2.623 3.771 -7.948

***

19.
! AcTmHg | Alexandria | GGA-PBE | optimized geometry; values from VASP
! formation energy	-329	meV per atom
! offset from the most stable computed form	0.00	kJ per mole of atoms
&SYSTEM
  ibrav = 0, nat = 6, ntyp = 3
/
ATOMIC_SPECIES
Ac 227.00 Ac.upf
Tm 168.93 Tm.upf
Hg 200.59 Hg.upf
ATOMIC_POSITIONS angstrom
Ac 1.250 1.250 1.047
Ac 3.751 3.751 6.823
Tm 1.250 3.751 3.935
Tm 3.751 1.250 3.935
Hg 1.250 1.250 5.693
Hg 3.751 3.751 2.177
CELL_PARAMETERS angstrom
5.001 0.000 0.000
0.000 5.001 0.000
0.000 0.000 7.870

***

20.
! Ac5TmHg4 | Alexandria | GGA-PBE | optimized geometry; values from VASP
! formation energy	-354	meV per atom
&SYSTEM
  ibrav = 0, nat = 10, ntyp = 3
/
ATOMIC_SPECIES
Ac 227.00 Ac.upf
Tm 168.93 Tm.upf
Hg 200.59 Hg.upf
ATOMIC_POSITIONS angstrom
Ac 0.000 0.000 0.000
Ac 0.000 0.000 4.081
Ac 0.000 0.000 8.158
Ac 0.000 0.000 12.984
Ac 0.000 0.000 17.061
Tm 2.011 2.011 10.571
Hg 2.011 2.011 2.021
Hg 2.011 2.011 6.172
Hg 2.011 2.011 14.970
Hg 2.011 2.011 19.121
CELL_PARAMETERS angstrom
4.022 0.000 0.000
0.000 4.022 0.000
0.000 0.000 21.142